BaReTe2 | PBE | relaxed

## Properties
Magnetization: 0.000 μB/cell
Energy above the lowest structure with this stoichiometry: 480 meV per atom
Energy relative to the elements, uncorrected: 0.205 eV/atom

Unit cell a=3.567 b=3.567 c=8.221 alpha=90.00 beta=90.00 gamma=98.95
Positions (direct):
Ba: 0.500 0.500 0.250
Re: 0.500 0.500 0.750
Te: 0.000 0.000 0.945
Te: 0.000 0.000 0.555

---

KVCd | PBE | relaxed

## Properties
Magnetization: 0.000 μB/cell
Energy above the lowest structure with this stoichiometry: 434 meV per atom

Unit cell a=5.375 b=5.375 c=7.680 alpha=90.00 beta=90.00 gamma=120.00
Positions (direct):
K: 0.667 0.333 0.000
K: 0.667 0.333 0.500
Cd: 0.333 0.667 0.309
Cd: 0.333 0.667 0.691
V: 0.000 0.000 0.381
V: 0.000 0.000 0.619

---

SmCuRh | PBE | relaxed

## Properties
Magnetization: 0.000 μB/cell
Energy above the lowest structure with this stoichiometry: 0 meV per atom

Unit cell a=4.204 b=5.391 c=5.445 alpha=90.00 beta=90.00 gamma=112.95
Positions (direct):
Sm: 0.200 0.400 0.750
Sm: 0.800 0.600 0.250
Cu: 0.500 0.000 0.500
Cu: 0.500 0.000 0.000
Rh: 0.092 0.184 0.250
Rh: 0.908 0.816 0.750

---

CaNbP2W | PBE | relaxed

## Properties
Magnetization: 1.659 μB/cell

Unit cell a=4.751 b=5.072 c=4.751 alpha=90.00 beta=90.00 gamma=90.00
Site moments in Bohr magnetons follow the coordinates.
Positions (direct):
P: 0.000 0.000 0.500  0.00
P: 0.500 0.000 0.000  0.01
Nb: 0.000 0.500 0.000  1.25
Ca: 0.500 0.500 0.500  0.07
W: 0.000 0.000 0.000  -0.10

---

no.,volume (Å³ per atom),DFT total energy (eV/atom)
1,25.83,-4.9588
2,32.02,-2.9596
3,18.94,-5.8780
4,22.89,-6.7014